# 1
# Er3GaSi2Pt9, optimized geometry, DFT PBE
# VASP energy   -6.208 eV/atom
# ρ   12.7 Mg/m³
# Formation energy without anion corrections   -746 meV per atom
data_Er3GaSi2Pt9
_space_group_name_H-M_alt 'P -3 m 1'
_space_group_IT_number 164
_space_group_name_Hall '-P 3 2"'
_cell_length_a 6.3270
_cell_length_b 6.3270
_cell_length_c 8.9805
_cell_angle_alpha 90.00
_cell_angle_beta 90.00
_cell_angle_gamma 120.00
loop_
_atom_site_label
_atom_site_type_symbol
_atom_site_fract_x
_atom_site_fract_y
_atom_site_fract_z
_atom_site_occupancy
Er1 Er 0.0000 0.0000 0.0000 1
Er2 Er 0.3333 0.6667 0.7318 1
Ga1 Ga 0.0000 0.0000 0.5000 1
Si1 Si 0.3333 0.6667 0.1823 1
Pt1 Pt 0.0000 0.5000 0.0000 1
Pt2 Pt 0.1425 0.2850 0.2761 1


# 2
# SmErGa5Pt2, optimized geometry, DFT PBE
# VASP energy   -4.405 eV/atom
# ρ   8.5 Mg/m³
# Energy relative to the elements   -0.349 eV/atom
data_SmErGa5Pt2
_space_group_name_H-M_alt 'P 4/m m m'
_space_group_IT_number 123
_space_group_name_Hall '-P 4 2'
_cell_length_a 4.765
_cell_length_b 4.765
_cell_length_c 9.069
_cell_angle_alpha 90.00
_cell_angle_beta 90.00
_cell_angle_gamma 90.00
loop_
_atom_site_label
_atom_site_type_symbol
_atom_site_fract_x
_atom_site_fract_y
_atom_site_fract_z
_atom_site_occupancy
Sm1 Sm 0.000 0.000 0.000 1
Er1 Er 0.000 0.000 0.500 1
Ga1 Ga 0.000 0.500 0.300 1
Ga2 Ga 0.500 0.500 0.000 1
Pt1 Pt 0.500 0.500 0.256 1